DFT (PBE-GGA) results for an optimized crystal structure of Zn7Pt.

Results
DFT formation energy = -158 meV/atom
Fermi-level density of states = 15.3 states/eV per cell
density = 9.3 g/cm³
crystal system = cubic

a b c (Å): 7.760 7.760 7.760
angles (deg): 90.00 90.00 90.00
Space group Fm-3m (No. 225)
Symmetry-distinct sites (fractional):
Zn: 0.000 0.000 0.000 [4 per cell]
Zn: 0.000 0.250 0.250 [24 per cell]
Pt: 0.000 0.000 0.500 [4 per cell]